# 1
{
  "formula": "CsCaFe2I8",
  "functional": "GGA-PBE",
  "state": "relaxed",
  "lattice": [[7.480, -0.405, 0.266], [3.091, 6.823, 0.266], [1.062, 0.645, 11.165]],
  "species": ["I", "I", "I", "I", "I", "I", "I", "I", "Fe", "Fe", "Cs", "Ca"],
  "fractional_positions": [[0.256, 0.256, 0.987], [0.744, 0.744, 0.013], [0.723, 0.232, 0.210], [0.277, 0.768, 0.790], [0.314, 0.314, 0.592], [0.768, 0.277, 0.790], [0.686, 0.686, 0.408], [0.232, 0.723, 0.210], [0.392, 0.392, 0.789], [0.608, 0.608, 0.211], [0.000, 0.000, 0.500], [0.000, 0.000, 0.000]],
  "dft_energy_ev_per_fu": -41.03
}

---

# 2
{
  "formula": "Er4SnSe2S",
  "functional": "GGA-PBE",
  "state": "relaxed",
  "lattice": [[8.191, -0.003, -0.015], [-0.009, 8.191, -0.015], [-4.066, -4.069, 5.802]],
  "species": ["S", "S", "Er", "Er", "Er", "Er", "Er", "Er", "Er", "Er", "Se", "Se", "Se", "Se", "Sn", "Sn"],
  "fractional_positions": [[0.000, 0.500, 0.000], [0.000, 0.500, 0.500], [0.235, 0.739, 0.487], [0.244, 0.256, 0.507], [0.239, 0.735, 0.987], [0.756, 0.744, 0.493], [0.761, 0.265, 0.013], [0.244, 0.256, 0.993], [0.765, 0.261, 0.513], [0.756, 0.744, 0.007], [0.500, 0.000, 0.500], [0.000, 0.000, 0.500], [0.500, 0.500, 0.000], [0.500, 0.000, 0.000], [0.500, 0.500, 0.500], [0.000, 0.000, 0.000]],
  "dft_energy_ev_per_fu": -45.29
}

---

# 3
{
  "formula": "NbPd3Cl",
  "functional": "GGA-PBE",
  "state": "relaxed",
  "lattice": [[-3.404, -3.155, 1.574], [2.955, -3.746, -1.118], [1.923, 0.173, 4.504]],
  "species": ["Cl", "Pd", "Pd", "Pd", "Nb"],
  "fractional_positions": [[0.500, 0.500, 0.500], [0.500, 0.000, 0.000], [0.000, 0.500, 0.000], [0.000, 0.000, 0.500], [0.000, 0.000, 0.000]],
  "polymorph_energy_ev_per_atom": 0.149,
  "dft_energy_ev_per_fu": -22.99
}

---

# 4
{
  "formula": "BeBN2F",
  "functional": "GGA-PBE",
  "state": "relaxed",
  "lattice": [[3.601, 0.000, 0.000], [0.000, 3.601, 0.000], [0.000, 0.000, 3.149]],
  "species": ["N", "N", "Be", "F", "B"],
  "fractional_positions": [[0.000, 0.500, 0.000], [0.500, 0.000, 0.000], [0.000, 0.000, 0.000], [0.000, 0.000, 0.500], [0.500, 0.500, 0.500]],
  "polymorph_energy_ev_per_atom": 0.827,
  "dft_energy_ev_per_fu": -22.63
}